Below is a relaxed Pu4AgRuPt2 crystal, with properties calculated at the GGA-PBE level.

Geometry as extended XYZ:
```
8
Lattice="-2.5410 0.4105 -4.2971 2.3935 -0.4466 -4.3774 -1.4115 -7.8605 -2.8357" Properties=species:S:1:pos:R:3 pbc="T T T"
Pu -1.2521 -6.6710 -5.7357
Pu -0.6936 -3.1820 -8.6521
Pu -0.8654 -4.7145 -2.8580
Pu -0.3069 -1.2256 -5.7744
Ag 0.0000 0.0000 0.0000
Ru -0.7795 -3.9483 -5.7551
Pt -1.2048 -6.1273 -8.6311
Pt -0.3542 -1.7693 -2.8790
```

## Properties
**Space-group type**: R-3m (166)
**DFT formation energy**: -377 meV/atom
**Density of states at the Fermi level**: 30.0 states/eV/cell
**Calculated volume**: 21.64 A^3/atom
**Spin magnetization**: 2.669 μB per atom